# KIn2Sb (PBE, relaxed)
data_KIn2Sb
_cell_length_a 9.189
_cell_length_b 9.189
_cell_length_c 7.291
_cell_angle_alpha 50.93
_cell_angle_beta 50.93
_cell_angle_gamma 90.00
_symmetry_space_group_name_H-M 'P 1'
_symmetry_Int_Tables_number 1
_symmetry_space_group_name_Hall 'P 1'
loop_
_atom_site_label
_atom_site_fract_x
_atom_site_fract_y
_atom_site_fract_z
Sb1 0.000 0.000 0.000
Sb2 0.750 0.250 0.500
K1 0.500 0.500 0.000
K2 0.250 0.750 0.500
In1 0.682 0.125 0.250
In2 0.068 0.625 0.250
In3 0.375 0.318 0.750
In4 0.875 0.932 0.750
# ΔE_f (raw): -0.431 eV/f.u.
# E: -2.782 eV per atom
# magnetic moment: 0.000 μB per atom